*a*
The following is a GGA-PBE calculation of a relaxed structure of Ac2LaPr6, from Alexandria.

The volume comes out at 345.7 Å³/cell.

It has space group P-31m (No. 162), with a = 10.5388 Å, b = 10.5388 Å, c = 3.5938 Å, α = 90.00°, β = 90.00° and γ = 120.00°. The distinct sites, in fractional coordinates, are Ac at (0.3333, 0.6667, 0.0000), La at (0.0000, 0.0000, 0.5000) and Pr at (0.0000, 0.3300, 0.2741).

---

*b*
The following is a GGA-PBE calculation of a relaxed structure of Ac2LaPr6, from Alexandria.

The volume comes out at 684.5 Å³/cell.

It has space group C2/m (No. 12), with a = 17.866 Å, b = 10.287 Å, c = 3.724 Å, α = 90.00°, β = 90.07° and γ = 90.00°. The distinct sites, in fractional coordinates, are Ac at (0.167, 0.000, 0.000), La at (0.000, 0.500, 0.000), Pr at (0.000, 0.169, 0.500) and Pr at (0.166, 0.334, 0.500).

---

Short version: *b*, *a*, most stable first.

---

*a*
The following is a GGA-PBE calculation of a relaxed structure of Ac8La3Pr2, from Alexandria.

The volume comes out at 1126.8 Å³/cell.

It has space group C2/m (No. 12), with a = 21.659 Å, b = 8.364 Å, c = 6.220 Å, α = 90.00°, β = 90.02° and γ = 90.00°. The distinct sites, in fractional coordinates, are Ac at (0.106, 0.212, 0.001), Ac at (0.134, 0.500, 0.500), Ac at (0.175, 0.000, 0.501), La at (0.000, 0.204, 0.500), La at (0.000, 0.500, 0.000) and Pr at (0.242, 0.500, 0.999).

---

*b*
The following is a GGA-PBE calculation of a relaxed structure of Ac8La3Pr2, from Alexandria.

The volume comes out at 1103.8 Å³/cell.

It has space group C2/m (No. 12), with a = 14.166 Å, b = 12.705 Å, c = 6.684 Å, α = 90.00°, β = 113.42° and γ = 90.00°. The distinct sites, in fractional coordinates, are Ac at (0.058, 0.000, 0.295), Ac at (0.149, 0.500, 0.560), Ac at (0.168, 0.251, 0.166), La at (0.000, 0.252, 0.500), La at (0.000, 0.500, 0.000) and Pr at (0.211, 0.000, 0.858).

---

Short version: *b*, *a*, most stable first.

---

*a*
The following is a GGA-PBE calculation of a relaxed structure of AcLa7Pr12, from Alexandria.

The volume comes out at 2212.4 Å³/cell.

It has space group R-3m (No. 166, hexagonal axes), with a = 13.9931 Å, b = 13.9931 Å, c = 13.0468 Å, α = 90.00°, β = 90.00° and γ = 120.00°. The distinct sites, in fractional coordinates, are Ac at (0.0000, 0.0000, 0.0000), La at (0.0000, 0.0000, 0.5000), La at (0.0898, 0.1797, 0.7640), Pr at (0.0000, 0.2601, 0.0000) and Pr at (0.0441, 0.5221, 0.1157).

---

*b*
The following is a GGA-PBE calculation of a relaxed structure of AcLa7Pr12, from Alexandria.

The volume comes out at 1582.5 Å³/cell.

It has space group Im-3 (No. 204), with a = 11.653 Å, b = 11.653 Å, c = 11.653 Å, α = 90.00°, β = 90.00° and γ = 90.00°. The distinct sites, in fractional coordinates, are Ac at (0.000, 0.000, 0.000), La at (0.000, 0.000, 0.500), La at (0.250, 0.250, 0.250) and Pr at (0.000, 0.222, 0.281).

---

Short version: *a*, *b*, most stable first.

---

*a*
The following is a GGA-PBE calculation of a relaxed structure of Ac3La2Pr, from Alexandria.

The volume comes out at 986.7 Å³/cell.

It has space group C2/c (No. 15), with a = 9.676 Å, b = 10.871 Å, c = 9.583 Å, α = 90.00°, β = 101.80° and γ = 90.00°. The distinct sites, in fractional coordinates, are Ac at (0.000, 0.067, 0.250), Ac at (0.220, 0.417, 0.983), La at (0.132, 0.247, 0.619) and Pr at (0.000, 0.388, 0.250).

---

*b*
The following is a GGA-PBE calculation of a relaxed structure of Ac3La2Pr, from Alexandria.

The volume comes out at 500.5 Å³/cell.

It has space group Immm (No. 71), with a = 3.731 Å, b = 6.451 Å, c = 20.794 Å, α = 90.00°, β = 90.00° and γ = 90.00°. The distinct sites, in fractional coordinates, are Ac at (0.000, 0.000, 0.000), Ac at (0.000, 0.500, 0.187), La at (0.000, 0.500, 0.361) and Pr at (0.000, 0.500, 0.000).

---

Short version: *a*, *b*, most stable first.

---

*a*
The following is a GGA-PBE calculation of a relaxed structure of Ac4La5Pr, from Alexandria.

The volume comes out at 849.7 Å³/cell.

It has space group Pmmn (No. 59, origin choice 2), with a = 7.414 Å, b = 9.025 Å, c = 12.700 Å, α = 90.00°, β = 90.00° and γ = 90.00°. The distinct sites, in fractional coordinates, are Ac at (0.000, 0.250, 0.032), Ac at (0.250, 0.005, 0.499), La at (0.001, 0.070, 0.771), La at (0.250, 0.750, 0.715) and Pr at (0.250, 0.250, 0.281).

---

*b*
The following is a GGA-PBE calculation of a relaxed structure of Ac4La5Pr, from Alexandria.

The volume comes out at 827.5 Å³/cell.

It has space group C2/m (No. 12), with a = 18.014 Å, b = 3.797 Å, c = 12.098 Å, α = 90.00°, β = 90.50° and γ = 90.00°. The distinct sites, in fractional coordinates, are Ac at (0.032, 0.000, 0.249), Ac at (0.163, 0.500, 0.749), La at (0.000, 0.500, 0.500), La at (0.172, 0.000, 0.042), La at (0.172, 0.000, 0.456) and Pr at (0.000, 0.500, 0.000).

---

Short version: *b*, *a*, most stable first.

---

*a*
The following is a GGA-PBE calculation of a relaxed structure of AcLa6Pr8, from Alexandria.

The volume comes out at 1683.3 Å³/cell.

It has space group R-3 (No. 148, hexagonal axes), with a = 9.6920 Å, b = 9.6920 Å, c = 20.6921 Å, α = 90.00°, β = 90.00° and γ = 120.00°. The distinct sites, in fractional coordinates, are Ac at (0.0000, 0.0000, 0.0000), La at (0.0388, 0.2430, 0.6901), Pr at (0.0000, 0.0000, 0.4282) and Pr at (0.0634, 0.2469, 0.1646).

---

*b*
The following is a GGA-PBE calculation of a relaxed structure of AcLa6Pr8, from Alexandria.

The volume comes out at 1697.0 Å³/cell.

It has space group R-3 (No. 148, hexagonal axes), with a = 10.1380 Å, b = 10.1380 Å, c = 19.0651 Å, α = 90.00°, β = 90.00° and γ = 120.00°. The distinct sites, in fractional coordinates, are Ac at (0.0000, 0.0000, 0.0000), La at (0.0207, 0.7824, 0.4046), Pr at (0.0000, 0.0000, 0.2277) and Pr at (0.0427, 0.7544, 0.8992).

---

Short version: *a*, *b*, most stable first.

---

*a*
The following is a GGA-PBE calculation of a relaxed structure of Ac4La3Pr, from Alexandria.

The volume comes out at 667.8 Å³/cell.

It has space group Cmmm (No. 65), with a = 12.535 Å, b = 14.384 Å, c = 3.704 Å, α = 90.00°, β = 90.00° and γ = 90.00°. The distinct sites, in fractional coordinates, are Ac at (0.000, 0.249, 0.000), Ac at (0.249, 0.000, 0.500), La at (0.000, 0.000, 0.000), La at (0.250, 0.250, 0.500) and Pr at (0.000, 0.500, 0.000).

---

*b*
The following is a GGA-PBE calculation of a relaxed structure of Ac4La3Pr, from Alexandria.

The volume comes out at 651.4 Å³/cell.

It has space group Pmmn (No. 59, origin choice 2), with a = 5.476 Å, b = 10.950 Å, c = 10.864 Å, α = 90.00°, β = 90.00° and γ = 90.00°. The distinct sites, in fractional coordinates, are Ac at (0.250, 0.000, 0.135), Ac at (0.250, 0.250, 0.866), Ac at (0.250, 0.750, 0.866), La at (0.250, 0.001, 0.616), La at (0.250, 0.750, 0.384) and Pr at (0.250, 0.250, 0.383).

---

Short version: *b*, *a*, most stable first.

---

*a*
The following is a GGA-PBE calculation of a relaxed structure of Ac4LaPr5, from Alexandria.

The volume comes out at 826.8 Å³/cell.

It has space group C2/m (No. 12), with a = 17.882 Å, b = 3.798 Å, c = 12.173 Å, α = 90.00°, β = 90.18° and γ = 90.00°. The distinct sites, in fractional coordinates, are Ac at (0.033, 0.000, 0.249), Ac at (0.164, 0.500, 0.750), La at (0.000, 0.500, 0.500), Pr at (0.000, 0.500, 0.000), Pr at (0.172, 0.000, 0.040) and Pr at (0.172, 0.000, 0.459).

---

*b*
The following is a GGA-PBE calculation of a relaxed structure of Ac4LaPr5, from Alexandria.

The volume comes out at 398.0 Å³/cell.

It has space group P4/mmm (No. 123), with a = 3.880 Å, b = 3.880 Å, c = 26.443 Å, α = 90.00°, β = 90.00° and γ = 90.00°. The distinct sites, in fractional coordinates, are Ac at (0.000, 0.000, 0.101), Ac at (0.000, 0.000, 0.304), La at (0.000, 0.000, 0.500), Pr at (0.500, 0.500, 0.000), Pr at (0.500, 0.500, 0.202) and Pr at (0.500, 0.500, 0.405).

---

Short version: *b*, *a*, most stable first.

---

*a*
The following is a GGA-PBE calculation of a relaxed structure of Ac2La3Pr2, from Alexandria.

The volume comes out at 549.8 Å³/cell.

It has space group C2/m (No. 12), with a = 18.608 Å, b = 3.725 Å, c = 9.065 Å, α = 90.00°, β = 118.95° and γ = 90.00°. The distinct sites, in fractional coordinates, are Ac at (0.066, 0.000, 0.403), La at (0.000, 0.500, 0.000), La at (0.215, 0.500, 0.296) and Pr at (0.151, 0.500, 0.842).

---

*b*
The following is a GGA-PBE calculation of a relaxed structure of Ac2La3Pr2, from Alexandria.

The volume comes out at 559.3 Å³/cell.

It has space group P2_1/c (No. 14), with a = 6.648 Å, b = 13.548 Å, c = 7.300 Å, α = 90.00°, β = 121.72° and γ = 90.00°. The distinct sites, in fractional coordinates, are Ac at (0.067, 0.126, 0.155), La at (0.489, 0.719, 0.839), La at (0.500, 0.000, 0.000) and Pr at (0.092, 0.602, 0.924).

---

Short version: *a*, *b*, most stable first.

---

*a*
The following is a GGA-PBE calculation of a relaxed structure of Ac7La4Pr, from Alexandria.

The volume comes out at 1032.0 Å³/cell.

It has space group C2/m (No. 12), with a = 17.469 Å, b = 6.479 Å, c = 10.238 Å, α = 90.00°, β = 117.04° and γ = 90.00°. The distinct sites, in fractional coordinates, are Ac at (0.000, 0.000, 0.000), Ac at (0.078, 0.500, 0.426), Ac at (0.204, 0.500, 0.865), Ac at (0.209, 0.500, 0.226), La at (0.071, 0.000, 0.685), La at (0.171, 0.000, 0.393) and Pr at (0.000, 0.500, 0.000).

---

*b*
The following is a GGA-PBE calculation of a relaxed structure of Ac7La4Pr, from Alexandria.

The volume comes out at 501.4 Å³/cell.

It has space group P-1 (No. 2), with a = 6.785 Å, b = 7.799 Å, c = 9.738 Å, α = 90.16°, β = 103.34° and γ = 90.01°. The distinct sites, in fractional coordinates, are Ac at (0.000, 0.000, 0.000), Ac at (0.220, 0.500, 0.669), Ac at (0.280, 0.753, 0.334), Ac at (0.498, 0.249, 0.004), La at (0.219, 0.000, 0.667), La at (0.275, 0.249, 0.331) and Pr at (0.000, 0.500, 0.000).

---

Short version: *b*, *a*, most stable first.